The following is a DFT calculation (PBE) of LaAl2Tl after structural relaxation.

abc: 6.1850 6.1850 6.1850
angles: 139.30 137.26 60.49
With the nearest neighbours (Å) after each atom.
Sites, in units of the cell vectors:
La1 0.0000 0.0000 0.0000  8 Al 3.26-3.50, 4 Tl 3.29-3.65
Al1 0.2496 0.7496 0.5000  2 Al 2.75
Al2 0.4097 0.4097 0.0000  2 Al 2.75, 2 Tl 3.00
Tl1 0.7243 0.2243 0.5000  6 Al 3.00-3.13, 2 La 3.29

Values from the calculation:
- Symmetry: Imm2
- Magnetization: 0.00 μB/cell
- Final energy: -3.87 eV/atom
- Energy relative to the lowest polymorph listed for this composition: 0.094 eV/atom
- D(E_F): 2.4 states/eV/f.u.